[1]
# SrTbMgSn

An optimized crystal structure of SrTbMgSn (PBE, the Alexandria database).

abc: 5.5140 5.5140 5.5140
angles: 60.00 60.00 60.00
With the nearest neighbours (Å) after each atom.
Element x y z (fractional)
Sr1 0.0000 0.0000 0.0000  4 Sn 3.38, 4 Mg 3.38
Mg1 0.2500 0.2500 0.2500  4 Tb 3.38, 4 Sr 3.38
Tb1 0.5000 0.5000 0.5000  4 Sn 3.38, 4 Mg 3.38
Sn1 0.7500 0.7500 0.7500  4 Tb 3.38, 4 Sr 3.38

Magnetization (μB/cell): 0.0



[2]
# SrMg2TlSn

An optimized crystal structure of SrMg2TlSn (PBE, the Alexandria database).

abc: 5.3424 6.0413 5.3424
angles: 90.00 90.00 90.00
With the nearest neighbours (Å) after each atom.
Element x y z (fractional)
Mg1 0.0000 0.0000 0.5000  2 Tl 2.67
Mg2 0.5000 0.0000 0.0000  2 Tl 2.67
Sr1 0.5000 0.5000 0.5000  4 Sn 3.78, 8 Mg 4.03
Tl1 0.0000 0.0000 0.0000  4 Mg 2.67
Sn1 0.0000 0.5000 0.0000  2 Tl 3.02

Magnetization (μB/cell): 0.0



[3]
# Sr2Mg4TlSn3

An optimized crystal structure of Sr2Mg4TlSn3 (PBE, the Alexandria database).

abc: 4.8066 4.8066 12.3463
angles: 90.00 90.00 90.00
With the nearest neighbours (Å) after each atom.
Element x y z (fractional)
Sr1 0.5000 0.0000 0.2499  6 Sn 3.67-3.91, 8 Mg 3.68-3.91, 2 Tl 3.91
Sr2 0.0000 0.5000 0.7501  6 Sn 3.67-3.91, 8 Mg 3.68-3.91, 2 Tl 3.91
Mg1 0.5000 0.5000 0.0000  4 Sn 2.95
Mg2 0.0000 0.0000 0.0000  4 Sn 2.95
Mg3 0.5000 0.0000 0.6358  3 Sn 2.79-2.93, 2 Tl 2.93
Mg4 0.0000 0.5000 0.3642  3 Sn 2.79-2.93, 2 Tl 2.93
Tl1 0.5000 0.5000 0.5000  4 Mg 2.93
Sn1 0.0000 0.0000 0.5000  4 Mg 2.93
Sn2 0.5000 0.0000 0.8619  5 Mg 2.79-2.95
Sn3 0.0000 0.5000 0.1381  5 Mg 2.79-2.95

Magnetization (μB/cell): 0.0



[4]
# Sr2Mg3TlSn4

An optimized crystal structure of Sr2Mg3TlSn4 (PBE, the Alexandria database).

abc: 4.9244 4.9244 12.1767
angles: 90.00 90.00 90.00
With the nearest neighbours (Å) after each atom.
Element x y z (fractional)
Sr1 0.5000 0.0000 0.2412  6 Mg 3.73-4.00, 8 Sn 3.76-3.83, 2 Tl 4.00
Sr2 0.0000 0.5000 0.7588  6 Mg 3.73-4.00, 8 Sn 3.76-3.83, 2 Tl 4.00
Mg1 0.0000 0.0000 0.5000  4 Sn 3.01
Mg2 0.5000 0.0000 0.8697  5 Sn 2.77-2.93
Mg3 0.0000 0.5000 0.1303  5 Sn 2.77-2.93
Tl1 0.5000 0.5000 0.5000  4 Sn 3.01
Sn1 0.5000 0.5000 0.0000  4 Mg 2.93
Sn2 0.0000 0.0000 0.0000  4 Mg 2.93
Sn3 0.5000 0.0000 0.6422  3 Mg 2.77-3.01, 2 Tl 3.01
Sn4 0.0000 0.5000 0.3578  3 Mg 2.77-3.01, 2 Tl 3.01

Magnetization (μB/cell): 0.0



[5]
# Sr2Mg5Tl2Sn3

An optimized crystal structure of Sr2Mg5Tl2Sn3 (PBE, the Alexandria database).

abc: 4.5624 4.5624 18.2784
angles: 97.17 97.17 90.00
With the nearest neighbours (Å) after each atom.
Element x y z (fractional)
Sr1 0.7130 0.7130 0.4260  5 Sn 3.36-3.60, 4 Mg 3.65
Sr2 0.2870 0.2870 0.5740  5 Sn 3.36-3.60, 4 Mg 3.65
Mg1 0.6339 0.1339 0.2679  2 Sn 2.97, 2 Tl 3.07, 4 Mg 3.23
Mg2 0.3661 0.8661 0.7321  2 Sn 2.97, 2 Tl 3.07, 4 Mg 3.23
Mg3 0.1339 0.6339 0.2679  2 Sn 2.97, 2 Tl 3.07, 4 Mg 3.23
Mg4 0.8661 0.3661 0.7321  2 Sn 2.97, 2 Tl 3.07, 4 Mg 3.23
Mg5 0.5000 0.5000 0.0000  2 Tl 2.77
Tl1 0.4230 0.4230 0.8459  5 Mg 2.77-3.07
Tl2 0.5770 0.5770 0.1541  5 Mg 2.77-3.07
Sn1 0.1869 0.1869 0.3738  4 Mg 2.97
Sn2 0.8131 0.8131 0.6262  4 Mg 2.97
Sn3 0.0000 0.0000 0.0000  4 Mg 3.23

Magnetization (μB/cell): 0.0



[6]
# SrMg2SnW

An optimized crystal structure of SrMg2SnW (PBE, the Alexandria database).

abc: 5.3674 5.5919 5.3674
angles: 90.00 90.00 90.00
With the nearest neighbours (Å) after each atom.
Element x y z (fractional)
Sr1 0.0000 0.0000 0.0000  4 Mg 2.68, 2 Sn 2.80
Mg1 0.0000 0.0000 0.5000  2 Sr 2.68
Mg2 0.5000 0.0000 0.0000  2 Sr 2.68
Sn1 0.0000 0.5000 0.0000  2 Sr 2.80
W1 0.5000 0.5000 0.5000  4 Sn 3.80, 8 Mg 3.88

Magnetization (μB/cell): 0.0



[7]
# Sr2Mg3ZnSn4

An optimized crystal structure of Sr2Mg3ZnSn4 (PBE, the Alexandria database).

abc: 4.7731 4.7731 12.0893
angles: 90.00 90.00 90.00
With the nearest neighbours (Å) after each atom.
Element x y z (fractional)
Sr1 0.5000 0.0000 0.2545  8 Sn 3.64-3.89, 6 Mg 3.66-3.81, 2 Zn 3.81
Sr2 0.0000 0.5000 0.7455  8 Sn 3.64-3.89, 6 Mg 3.66-3.81, 2 Zn 3.81
Mg1 0.0000 0.0000 0.5000  4 Sn 2.87
Mg2 0.5000 0.0000 0.8619  5 Sn 2.77-2.91
Mg3 0.0000 0.5000 0.1381  5 Sn 2.77-2.91
Zn1 0.5000 0.5000 0.5000  4 Sn 2.87
Sn1 0.5000 0.5000 0.0000  4 Mg 2.91
Sn2 0.0000 0.0000 0.0000  4 Mg 2.91
Sn3 0.5000 0.0000 0.6325  3 Mg 2.77-2.87, 2 Zn 2.87
Sn4 0.0000 0.5000 0.3675  3 Mg 2.77-2.87, 2 Zn 2.87

Magnetization (μB/cell): 0.0



[8]
# SrMg2Zn2Sn2

An optimized crystal structure of SrMg2Zn2Sn2 (PBE, the Alexandria database).

abc: 4.7269 4.7269 9.1668
angles: 75.06 75.06 60.00
With the nearest neighbours (Å) after each atom.
Element x y z (fractional)
Sr1 0.0000 0.0000 0.0000  6 Sn 3.44, 2 Mg 3.65
Mg1 0.1389 0.1389 0.5834  3 Zn 2.80, 1 Sn 3.02, 3 Mg 3.10
Mg2 0.8611 0.8611 0.4166  3 Zn 2.80, 1 Sn 3.02, 3 Mg 3.10
Zn1 0.5509 0.5509 0.3474  1 Zn 2.67, 3 Mg 2.80, 3 Sn 2.89
Zn2 0.4491 0.4491 0.6526  1 Zn 2.67, 3 Mg 2.80, 3 Sn 2.89
Sn1 0.7461 0.7461 0.7616  3 Zn 2.89, 4 Mg 3.02-3.14
Sn2 0.2539 0.2539 0.2384  3 Zn 2.89, 4 Mg 3.02-3.14

Magnetization (μB/cell): 0.0



Calculated E_form (eV per formula unit), listed in the same order as above: -1.308 0.698 -3.849 -3.332 -1.277 11.695 -3.819 -1.930